Entry 1:
Computed, not measured: crystalline PSe at its relaxed geometry at the PBE level of DFT.

Output
* total magnetic moment: 0.0 μB per formula unit
* total energy: -3.95 eV per atom
* energy relative to the elements, uncorrected: 0.4967 eV per atom
* mass density: 3.75 g/cm3
* energy above the most stable polymorph in this dataset: 0.5768 eV per atom

a b c (Å): 8.220 8.220 8.220
angles (deg): 155.25 155.25 35.29
Positions (direct):
P  0.375  0.625  0.750
P  0.625  0.375  0.250
Se  0.125  0.875  0.250
Se  0.875  0.125  0.750

Entry 2:
Computed, not measured: crystalline KTaCl5 at its relaxed geometry at the PBE level of DFT.

Output
* total magnetic moment: 1.0 μB per formula unit
* total energy: -4.60 eV per atom
* energy relative to the elements, uncorrected: -1.4288 eV per atom
* mass density: 2.94 g/cm3

a b c (Å): 7.289 7.289 9.669
angles (deg): 107.90 107.90 70.71
Positions (direct):
K  0.041  0.959  0.750
K  0.959  0.041  0.250
Ta  0.500  0.500  0.000
Ta  0.500  0.500  0.500
Cl  0.162  0.698  0.008
Cl  0.208  0.385  0.389
Cl  0.302  0.838  0.492
Cl  0.385  0.208  0.889
Cl  0.433  0.567  0.750
Cl  0.567  0.433  0.250
Cl  0.615  0.792  0.111
Cl  0.698  0.162  0.508
Cl  0.792  0.615  0.611
Cl  0.838  0.302  0.992